# 1
Compound: LaPr3Er3
Source: Alexandria via LeMat-Bulk
Functional: GGA-PBE
Structure: relaxed

a b c (Å): 8.3193 8.3193 8.3193
angles (deg): 69.41 69.41 69.41
Element x y z (fractional)
La 0.0901 0.0901 0.0901
La 0.9099 0.9099 0.9099
Pr 0.2306 0.6625 0.3746
Pr 0.3375 0.6254 0.7694
Pr 0.3746 0.2306 0.6625
Pr 0.6254 0.7694 0.3375
Pr 0.6625 0.3746 0.2306
Pr 0.7694 0.3375 0.6254
Er 0.0532 0.4741 0.1914
Er 0.1914 0.0532 0.4741
Er 0.4741 0.1914 0.0532
Er 0.5259 0.8086 0.9468
Er 0.8086 0.9468 0.5259
Er 0.9468 0.5259 0.8086

Calculated values
total moment: 0.000 μB/cell
symmetry: No. 148
electronic total energy: -4.576 eV/atom
E above lowest polymorph: 101 meV per atom
calculated formation energy: 0.132 eV/atom
density of states at the Fermi level: 1.3180 states/eV per atom

---

# 2
Compound: ZrSb2Au
Source: Alexandria via LeMat-Bulk
Functional: GGA-PBE
Structure: relaxed

a b c (Å): 3.2363 3.2363 8.9475
angles (deg): 90.00 90.00 90.00
Element x y z (fractional)
Zr 0.0000 0.0000 0.0000
Sb 0.5000 0.5000 0.2471
Sb 0.5000 0.5000 0.7529
Au 0.0000 0.0000 0.5000

Calculated values
total moment: 0.000 μB/cell
symmetry: No. 123
electronic total energy: -5.044 eV/atom
formation energy from raw total energies: -0.027 eV/atom
density of states at the Fermi level: 0.9445 states/eV per atom

---

# 3
Compound: Hf7Nb2Sn2
Source: Alexandria via LeMat-Bulk
Functional: GGA-PBE
Structure: relaxed

a b c (Å): 5.7041 5.7041 7.7806
angles (deg): 101.23 101.23 97.25
Element x y z (fractional)
Hf 0.0000 0.0000 0.0000
Hf 0.0933 0.4635 0.8198
Hf 0.1505 0.1505 0.4131
Hf 0.4635 0.0933 0.8198
Hf 0.5365 0.9067 0.1802
Hf 0.8495 0.8495 0.5869
Hf 0.9067 0.5365 0.1802
Nb 0.3950 0.3950 0.1638
Nb 0.6050 0.6050 0.8362
Sn 0.3063 0.6937 0.5000
Sn 0.6937 0.3063 0.5000

Calculated values
total moment: 0.000 μB/cell
symmetry: No. 12
electronic total energy: -9.040 eV/atom
calculated formation energy: -0.148 eV/atom
density of states at the Fermi level: 0.8855 states/eV per atom

---

# 4
Compound: La6Te2AsSe3
Source: Alexandria via LeMat-Bulk
Functional: GGA-PBE
Structure: relaxed

a b c (Å): 9.8588 9.8588 8.8830
angles (deg): 102.71 102.71 25.72
Element x y z (fractional)
La 0.0049 0.0049 0.2595
La 0.3373 0.3373 0.4329
La 0.3402 0.3402 0.9016
La 0.6598 0.6598 0.0984
La 0.6627 0.6627 0.5671
La 0.9951 0.9951 0.7405
Te 0.1674 0.1674 0.8359
Te 0.8326 0.8326 0.1641
As 0.5000 0.5000 0.5000
Se 0.1692 0.1692 0.3360
Se 0.5000 0.5000 0.0000
Se 0.8308 0.8308 0.6640

Calculated values
total moment: 0.000 μB/cell
symmetry: No. 12
electronic total energy: -6.053 eV/atom
formation energy from raw total energies: -1.808 eV/atom
density of states at the Fermi level: 0.4644 states/eV per atom

---

# 5
Compound: Sc4AgOs
Source: Alexandria via LeMat-Bulk
Functional: GGA-PBE
Structure: relaxed

a b c (Å): 7.8057 7.8057 7.8057
angles (deg): 34.98 34.98 34.98
Element x y z (fractional)
Sc 0.1176 0.1176 0.1176
Sc 0.3663 0.3663 0.3663
Sc 0.6337 0.6337 0.6337
Sc 0.8824 0.8824 0.8824
Ag 0.5000 0.5000 0.5000
Os 0.0000 0.0000 0.0000

Calculated values
total moment: 0.000 μB/cell
symmetry: No. 166
electronic total energy: -6.685 eV/atom
E above lowest polymorph: 117 meV per atom
calculated formation energy: -0.117 eV/atom
density of states at the Fermi level: 1.3616 states/eV per atom

---

# 6
Compound: Ca2TlAs
Source: Alexandria via LeMat-Bulk
Functional: GGA-PBE
Structure: relaxed

a b c (Å): 4.4069 4.4069 6.2131
angles (deg): 90.00 90.00 90.00
Element x y z (fractional)
Ca 0.0000 0.0000 0.0000
Ca 0.5000 0.5000 0.4439
Tl 0.0000 0.0000 0.5080
As 0.5000 0.5000 0.9501

Calculated values
total moment: 0.000 μB/cell
symmetry: No. 99
electronic total energy: -3.184 eV/atom
E above lowest polymorph: 286 meV per atom
calculated formation energy: -0.429 eV/atom
density of states at the Fermi level: 1.2191 states/eV per atom

---

# 7
Compound: Sc2AlSBr
Source: Alexandria via LeMat-Bulk
Functional: GGA-PBE
Structure: relaxed

a b c (Å): 4.7578 4.7578 6.3139
angles (deg): 90.00 90.00 90.00
Element x y z (fractional)
Sc 0.0000 0.5000 0.0000
Sc 0.5000 0.0000 0.0000
Al 0.0000 0.0000 0.5000
S 0.5000 0.5000 0.0000
Br 0.5000 0.5000 0.5000

Calculated values
total moment: 0.000 μB/cell
symmetry: No. 123
electronic total energy: -4.679 eV/atom
formation energy from raw total energies: -0.238 eV/atom
density of states at the Fermi level: 0.9287 states/eV per atom

---

# 8
Compound: La3GaOs
Source: Alexandria via LeMat-Bulk
Functional: GGA-PBE
Structure: relaxed

a b c (Å): 6.2414 6.4794 8.3528
angles (deg): 74.11 85.33 64.84
Element x y z (fractional)
La 0.0397 0.1664 0.1362
La 0.2985 0.1989 0.6617
La 0.3903 0.4760 0.2248
La 0.6097 0.5240 0.7752
La 0.7015 0.8011 0.3383
La 0.9603 0.8336 0.8638
Ga 0.1813 0.7934 0.4967
Ga 0.8187 0.2066 0.5033
Os 0.4199 0.8624 0.9726
Os 0.5801 0.1376 0.0274

Calculated values
total moment: 0.000 μB/cell
symmetry: No. 2
electronic total energy: -6.110 eV/atom
E above lowest polymorph: 22 meV per atom
calculated formation energy: -0.302 eV/atom
density of states at the Fermi level: 0.9126 states/eV per atom